Entry from the Alexandria database: a geometry-optimized ZnNi2O4 structure (PBE with a Hubbard U).

Geometry as POSCAR:
```
ZnNi2O4
1.0
-2.955 2.968 4.161
2.955 -2.968 4.161
2.955 2.968 -4.161
Zn Ni O
2 4 8
direct
0.500 0.000 0.000
0.500 0.500 0.500
0.000 0.000 0.000
0.121 0.371 0.750
0.500 0.000 0.500
0.879 0.629 0.250
0.244 0.238 0.006
0.250 0.239 0.489
0.250 0.761 0.011
0.268 0.762 0.506
0.732 0.238 0.494
0.750 0.239 0.989
0.750 0.761 0.511
0.756 0.762 0.994
```

Computed properties:
ρ in kg/m3: 5614
Space-group type: No. 74
Distance to the lowest polymorph of the same formula in kJ per mole of atoms: 16.3
V in Å³/atom: 10.43